Compound: Mg2CdP2
Source: the Alexandria database
Functional: meta-GGA SCAN
Structure: single point on PBEsol structure

Cell: 4.6193 4.6193 9.3199 Å, 90.00 90.00 90.00°
Space group I4/mmm (No. 139)
Inequivalent atoms, fractional coordinates:
Mg 0.0000 0.5000 0.2500
Cd 0.0000 0.0000 0.0000
P 0.0000 0.0000 0.3818

V   198.9 Å³/cell
E   -125.820 eV/cell
Total magnetization   0.00 μB per formula unit